No. 1
The following is a DFT calculation (meta-GGA SCAN) of a PBEsol-optimized structure of CoTe2PI.

The structure in POSCAR format:
```
CoTe2PI
1.0
4.8713 0.0000 0.0000
0.0000 4.8713 0.0000
0.0000 0.0000 5.0261
I Co Te P
1 1 2 1
direct
0.0000 0.0000 0.5000
0.0000 0.0000 0.0000
0.5000 0.0000 0.0000
0.0000 0.5000 0.0000
0.5000 0.5000 0.5000
```

Values from the calculation:
Uncorrected formation energy = 4.20 eV per formula unit



No. 2
The following is a DFT calculation (meta-GGA SCAN) of a PBEsol-optimized structure of MnGa3Ir.

The structure in POSCAR format:
```
MnGa3Ir
1.0
4.7261 0.0000 0.0000
0.0000 4.7261 0.0000
0.0000 0.0000 4.7261
Ga Mn Ir
3 1 1
direct
0.0000 0.5000 0.0000
0.0000 0.0000 0.5000
0.5000 0.0000 0.0000
0.5000 0.5000 0.5000
0.0000 0.0000 0.0000
```

Values from the calculation:
Formation enthalpy at 0 K = 24 meV/atom



No. 3
The following is a DFT calculation (meta-GGA SCAN) of a PBEsol-optimized structure of In2HgCl.

The structure in POSCAR format:
```
In2HgCl
1.0
-0.8826 0.7802 3.1971
-4.8197 0.2915 -1.4016
-0.6839 -5.6207 1.1829
In Cl Hg
2 1 1
direct
0.8726 0.5000 0.0000
0.3772 0.0000 0.5000
0.3728 0.0000 0.0000
0.8774 0.5000 0.5000
```

Values from the calculation:
Uncorrected formation energy = -1.64 eV per formula unit
ΔE to the lowest computed polymorph = 14 meV/atom